Record 1
A plane-wave DFT calculation with GGA-PBEsol was carried out for a relaxed Li2SmTl crystal.

Cell lengths 4.834, 4.834, 4.834 Å; angles 60.00, 60.00, 60.00 degrees
Atoms (fractional coordinates):
Li  0.250  0.250  0.250
Li  0.750  0.750  0.750
Sm  0.000  0.000  0.000
Tl  0.500  0.500  0.500

Properties
Uncorrected energy in eV per atom: -3.20
Energy of formation in eV/atom: -0.2903

---

Record 2
A plane-wave DFT calculation with GGA-PBEsol was carried out for a relaxed Li22Sn5 crystal.

Cell lengths 13.797, 13.797, 13.797 Å; angles 60.00, 60.00, 60.00 degrees
Atoms (fractional coordinates):
Li  0.000  0.000  0.000
Li  0.014  0.329  0.329
Li  0.082  0.435  0.741
Li  0.082  0.741  0.435
Li  0.082  0.741  0.741
Li  0.168  0.168  0.168
Li  0.168  0.168  0.495
Li  0.168  0.495  0.168
Li  0.170  0.170  0.830
Li  0.170  0.830  0.170
Li  0.170  0.830  0.830
Li  0.190  0.492  0.492
Li  0.190  0.492  0.825
Li  0.190  0.825  0.492
Li  0.226  0.925  0.925
Li  0.242  0.242  0.580
Li  0.242  0.242  0.936
Li  0.242  0.580  0.242
Li  0.242  0.580  0.936
Li  0.242  0.936  0.242
Li  0.242  0.936  0.580
Li  0.250  0.250  0.250
Li  0.252  0.583  0.583
Li  0.329  0.014  0.329
Li  0.329  0.329  0.014
Li  0.329  0.329  0.329
Li  0.332  0.676  0.996
Li  0.332  0.996  0.676
Li  0.332  0.996  0.996
Li  0.425  0.425  0.425
Li  0.425  0.425  0.726
Li  0.425  0.726  0.425
Li  0.435  0.082  0.741
Li  0.435  0.741  0.082
Li  0.435  0.741  0.741
Li  0.492  0.190  0.492
Li  0.492  0.190  0.825
Li  0.492  0.492  0.190
Li  0.492  0.492  0.825
Li  0.492  0.825  0.190
Li  0.492  0.825  0.492
Li  0.495  0.168  0.168
Li  0.500  0.500  0.500
Li  0.578  0.578  0.922
Li  0.578  0.922  0.578
Li  0.578  0.922  0.922
Li  0.580  0.242  0.242
Li  0.580  0.242  0.936
Li  0.580  0.936  0.242
Li  0.583  0.252  0.583
Li  0.583  0.583  0.252
Li  0.583  0.583  0.583
Li  0.676  0.332  0.996
Li  0.676  0.996  0.332
Li  0.676  0.996  0.996
Li  0.678  0.678  0.678
Li  0.678  0.678  0.967
Li  0.678  0.967  0.678
Li  0.726  0.425  0.425
Li  0.741  0.082  0.435
Li  0.741  0.082  0.741
Li  0.741  0.435  0.082
Li  0.741  0.435  0.741
Li  0.741  0.741  0.082
Li  0.741  0.741  0.435
Li  0.750  0.750  0.750
Li  0.825  0.190  0.492
Li  0.825  0.492  0.190
Li  0.825  0.492  0.492
Li  0.830  0.170  0.170
Li  0.830  0.170  0.830
Li  0.830  0.830  0.170
Li  0.922  0.578  0.578
Li  0.922  0.578  0.922
Li  0.922  0.922  0.578
Li  0.925  0.226  0.925
Li  0.925  0.925  0.226
Li  0.925  0.925  0.925
Li  0.936  0.242  0.242
Li  0.936  0.242  0.580
Li  0.936  0.580  0.242
Li  0.967  0.678  0.678
Li  0.996  0.332  0.676
Li  0.996  0.332  0.996
Li  0.996  0.676  0.332
Li  0.996  0.676  0.996
Li  0.996  0.996  0.332
Li  0.996  0.996  0.676
Sn  0.074  0.074  0.426
Sn  0.074  0.426  0.074
Sn  0.074  0.426  0.426
Sn  0.083  0.083  0.083
Sn  0.083  0.083  0.750
Sn  0.083  0.750  0.083
Sn  0.325  0.325  0.675
Sn  0.325  0.675  0.325
Sn  0.325  0.675  0.675
Sn  0.426  0.074  0.074
Sn  0.426  0.074  0.426
Sn  0.426  0.426  0.074
Sn  0.485  0.838  0.838
Sn  0.675  0.325  0.325
Sn  0.675  0.325  0.675
Sn  0.675  0.675  0.325
Sn  0.750  0.083  0.083
Sn  0.838  0.485  0.838
Sn  0.838  0.838  0.485
Sn  0.838  0.838  0.838

Properties
Uncorrected energy in eV per atom: -2.74
Energy of formation in eV/atom: -0.3495

---

Record 3
A plane-wave DFT calculation with GGA-PBEsol was carried out for a relaxed Li13Sn5 crystal.

Cell lengths 4.634, 4.634, 16.886 Å; angles 90.00, 90.00, 120.00 degrees
Atoms (fractional coordinates):
Li  0.000  0.000  0.000
Li  0.000  0.000  0.173
Li  0.000  0.000  0.337
Li  0.000  0.000  0.663
Li  0.000  0.000  0.827
Li  0.333  0.667  0.446
Li  0.333  0.667  0.611
Li  0.333  0.667  0.783
Li  0.333  0.667  0.946
Li  0.667  0.333  0.054
Li  0.667  0.333  0.217
Li  0.667  0.333  0.389
Li  0.667  0.333  0.554
Sn  0.000  0.000  0.500
Sn  0.333  0.667  0.109
Sn  0.333  0.667  0.278
Sn  0.667  0.333  0.722
Sn  0.667  0.333  0.891

Properties
Uncorrected energy in eV per atom: -3.03
Energy of formation in eV/atom: -0.4283

---

What is the formula in the first record?
Li2SmTl